VASP calculation (PBE-GGA) on a relaxed structure of ScRu3Rh.

Cell and atoms, written as POSCAR:
```
ScRu3Rh
1.0
-3.957 -0.323 2.422
2.417 -1.197 3.789
0.360 4.482 1.186
Ru Rh Sc
3 1 1
direct
0.000 0.000 0.500
0.500 0.000 0.000
0.000 0.500 0.000
0.000 0.000 0.000
0.500 0.500 0.500
```

Calculated formation energy, meV per atom: 1257.7
E_tot, eV per formula unit: -35.2
Spin magnetization, μB per formula unit: 1.23